--- i ---
The following is a DFT calculation (PBE) of an optimized crystal structure of KLaSc2.

Unit cell a=3.537 b=3.537 c=11.110 alpha=90.00 beta=90.00 gamma=90.00
Atoms (fractional coordinates):
La1 0.500 0.500 0.750
Sc1 0.000 0.000 0.956
Sc2 0.000 0.000 0.544
K1 0.500 0.500 0.250

The crystal system is tetragonal.



--- ii ---
The following is a DFT calculation (PBE) of an optimized crystal structure of KLaSc2.

Unit cell a=6.372 b=6.372 c=6.372 alpha=133.47 beta=133.47 gamma=67.91
Atoms (fractional coordinates):
La1 0.750 0.250 0.500
K1 0.250 0.750 0.500
Sc1 0.000 0.000 0.000
Sc2 0.500 0.500 0.000

The crystal system is tetragonal.



Most stable structure, least stable structure: i, ii.



--- i ---
The following is a DFT calculation (PBE) of an optimized crystal structure of KLaSc2.

Unit cell a=5.978 b=5.978 c=3.721 alpha=90.00 beta=90.00 gamma=90.00
Atoms (fractional coordinates):
Sc1 0.500 0.500 0.000
K1 0.500 0.000 0.500
La1 0.000 0.500 0.500
Sc2 0.000 0.000 0.000

The crystal system is tetragonal.



--- ii ---
The following is a DFT calculation (PBE) of an optimized crystal structure of KLaSc2.

Unit cell a=5.936 b=5.936 c=7.596 alpha=84.61 beta=84.61 gamma=33.20
Atoms (fractional coordinates):
Sc1 0.989 0.989 0.078
K1 0.750 0.750 0.750
Sc2 0.511 0.511 0.422
La1 0.250 0.250 0.250

The crystal system is monoclinic.



Most stable structure, least stable structure: ii, i.



--- i ---
The following is a DFT calculation (PBE) of an optimized crystal structure of KLaSc2.

Unit cell a=6.977 b=6.977 c=6.977 alpha=150.37 beta=128.81 gamma=60.27
Atoms (fractional coordinates):
Sc1 0.014 0.014 0.000
La1 0.250 0.750 0.500
Sc2 0.486 0.486 0.000
K1 0.750 0.250 0.500

The crystal system is orthorhombic.



--- ii ---
The following is a DFT calculation (PBE) of an optimized crystal structure of KLaSc2.

Unit cell a=3.409 b=3.409 c=12.673 alpha=90.00 beta=90.00 gamma=115.94
Atoms (fractional coordinates):
Sc1 0.000 0.000 0.524
Sc2 0.000 0.000 0.976
La1 0.500 0.500 0.750
K1 0.500 0.500 0.250

The crystal system is orthorhombic.



--- iii ---
The following is a DFT calculation (PBE) of an optimized crystal structure of KLaSc2.

Unit cell a=5.714 b=5.714 c=5.714 alpha=60.00 beta=60.00 gamma=60.00
Atoms (fractional coordinates):
K1 0.500 0.500 0.500
La1 0.750 0.750 0.750
Sc1 0.000 0.000 0.000
Sc2 0.250 0.250 0.250

The crystal system is cubic.



Most stable structure, least stable structure: ii, iii.



--- i ---
The following is a DFT calculation (PBE) of an optimized crystal structure of KLaSc2.

Unit cell a=6.433 b=6.433 c=3.453 alpha=89.92 beta=89.92 gamma=111.90
Atoms (fractional coordinates):
K1 0.500 0.000 0.500
La1 0.000 0.500 0.500
Sc1 0.500 0.500 0.000
Sc2 0.000 0.000 0.000

The crystal system is monoclinic.



--- ii ---
The following is a DFT calculation (PBE) of an optimized crystal structure of KLaSc2.

Unit cell a=5.785 b=5.785 c=7.618 alpha=85.63 beta=85.63 gamma=34.14
Atoms (fractional coordinates):
Sc1 0.003 0.003 0.984
K1 0.498 0.498 0.510
La1 0.257 0.257 0.184
Sc2 0.742 0.742 0.821

The crystal system is monoclinic.



--- iii ---
The following is a DFT calculation (PBE) of an optimized crystal structure of KLaSc2.

Unit cell a=5.726 b=5.726 c=5.726 alpha=60.00 beta=60.00 gamma=60.00
Atoms (fractional coordinates):
La1 0.500 0.500 0.500
K1 0.000 0.000 0.000
Sc1 0.750 0.750 0.750
Sc2 0.250 0.250 0.250

The crystal system is cubic.



--- iv ---
The following is a DFT calculation (PBE) of an optimized crystal structure of KLaSc2.

Unit cell a=12.809 b=12.809 c=12.809 alpha=15.62 beta=15.62 gamma=15.62
Atoms (fractional coordinates):
La1 0.500 0.500 0.500
K1 0.000 0.000 0.000
Sc1 0.905 0.905 0.905
Sc2 0.095 0.095 0.095

The crystal system is trigonal.



Most stable structure, least stable structure: iv, iii.



--- i ---
The following is a DFT calculation (PBE) of an optimized crystal structure of KLaSc.

Unit cell a=5.814 b=5.814 c=5.814 alpha=60.00 beta=60.00 gamma=60.00
Atoms (fractional coordinates):
Sc1 0.750 0.750 0.750
K1 0.000 0.000 0.000
La1 0.500 0.500 0.500

The crystal system is cubic.



--- ii ---
The following is a DFT calculation (PBE) of an optimized crystal structure of KLaSc.

Unit cell a=3.635 b=3.635 c=9.880 alpha=90.00 beta=90.00 gamma=120.00
Atoms (fractional coordinates):
La1 0.667 0.333 0.374
K1 0.000 0.000 0.989
Sc1 0.333 0.667 0.637

The crystal system is trigonal.



Most stable structure, least stable structure: ii, i.



--- i ---
The following is a DFT calculation (PBE) of an optimized crystal structure of KLaSc.

Unit cell a=9.409 b=9.409 c=9.409 alpha=158.00 beta=158.00 gamma=31.31
Atoms (fractional coordinates):
Sc1 0.684 0.684 0.000
K1 0.006 0.006 0.000
La1 0.309 0.309 0.000

The crystal system is tetragonal.



--- ii ---
The following is a DFT calculation (PBE) of an optimized crystal structure of KLaSc.

Unit cell a=10.257 b=10.027 c=3.537 alpha=83.65 beta=76.31 gamma=20.04
Atoms (fractional coordinates):
La1 0.312 0.312 0.688
K1 0.006 0.006 0.994
Sc1 0.682 0.682 0.318

The crystal system is orthorhombic.



Most stable structure, least stable structure: i, ii.